Entry 1:
# Na12Sn5Bi3

Na12Sn5Bi3 after structural relaxation (PBE-GGA, the Alexandria database).

abc: 18.4166 18.4166 18.4166
angles: 90.00 90.00 90.00
Last column: nearest neighbours and their distance in Å.
Space group Ia-3d (No. 230)
Unique sites:
Na: 0.0130 0.0815 0.6509 [96 per cell]  2 Sn 3.14-3.17, 2 Bi 3.15-3.47, 1 Na 3.33
Sn: 0.0000 0.0000 0.0000 [16 per cell]  6 Na 3.17
Sn: 0.0000 0.2500 0.3750 [24 per cell]  4 Na 3.14
Bi: 0.0000 0.2500 0.1250 [24 per cell]  8 Na 3.15-3.47

Output
magnetic moment = 1.0 μB/f.u.
formation energy from the elements = 21 kJ per mole of atoms
DOS(E_F) = 95.22 states/eV/cell
volume = 781 Å³/f.u.
crystal system = cubic
uncorrected energy = -345.6 eV/cell

Entry 2:
# NaMg2GaW

NaMg2GaW after structural relaxation (PBE-GGA, the Alexandria database).

abc: 4.6863 4.6863 5.0612
angles: 90.00 90.00 90.00
Last column: nearest neighbours and their distance in Å.
Space group P4/mmm (No. 123)
Unique sites:
Na: 0.0000 0.0000 0.0000 [1 per cell]  4 Mg 2.34, 2 W 2.53
Mg: 0.0000 0.5000 0.0000 [2 per cell]  2 Na 2.34
Ga: 0.5000 0.5000 0.5000 [1 per cell]  4 W 3.31, 8 Mg 3.45
W: 0.0000 0.0000 0.5000 [1 per cell]  2 Na 2.53

Output
magnetic moment = 0.0 μB/f.u.
formation energy from the elements = 162 kJ per mole of atoms
DOS(E_F) = 3.68 states/eV/cell
volume = 111 Å³/f.u.
crystal system = tetragonal
uncorrected energy = -12.1 eV/cell

Entry 3:
# ZrBiOs3

ZrBiOs3 after structural relaxation (PBE-GGA, the Alexandria database).

abc: 4.8840 4.8840 4.8840
angles: 90.00 90.00 90.00
Last column: nearest neighbours and their distance in Å.
Space group Pm-3m (No. 221)
Unique sites:
Zr: 0.0000 0.0000 0.0000 [1 per cell]  6 Os 2.44
Bi: 0.5000 0.5000 0.5000 [1 per cell]  12 Os 3.45
Os: 0.0000 0.0000 0.5000 [3 per cell]  2 Zr 2.44

Output
magnetic moment = 0.0 μB/f.u.
formation energy from the elements = 206 kJ per mole of atoms
DOS(E_F) = 5.39 states/eV/cell
volume = 116 Å³/f.u.
crystal system = cubic
uncorrected energy = -35.4 eV/cell

Entry 4:
# PrZr2Zn

PrZr2Zn after structural relaxation (PBE-GGA, the Alexandria database).

abc: 3.3450 3.3450 8.3479
angles: 90.00 90.00 90.00
Last column: nearest neighbours and their distance in Å.
Space group P4/mmm (No. 123)
Unique sites:
Pr: 0.0000 0.0000 0.0000 [1 per cell]  4 Pr 3.35, 8 Zr 3.43
Zr: 0.5000 0.5000 0.2971 [2 per cell]  4 Zn 2.91
Zn: 0.0000 0.0000 0.5000 [1 per cell]  8 Zr 2.91

Output
magnetic moment = 0.0 μB/f.u.
formation energy from the elements = -1 kJ per mole of atoms
DOS(E_F) = 2.80 states/eV/cell
volume = 93 Å³/f.u.
crystal system = tetragonal
uncorrected energy = -23.2 eV/cell

Entry 5:
# Tb5Nd3Pb2

Tb5Nd3Pb2 after structural relaxation (PBE-GGA, the Alexandria database).

abc: 12.9366 15.8286 6.4966
angles: 90.00 90.00 90.00
Last column: nearest neighbours and their distance in Å.
Space group Ibam (No. 72)
Unique sites:
Tb: 0.0000 0.0000 0.2500 [4 per cell]  8 Tb 3.18-3.31
Tb: 0.0999 0.1627 0.0000 [8 per cell]  1 Pb 3.03, 2 Tb 3.31
Tb: 0.2462 0.0000 0.2500 [8 per cell]  3 Tb 3.18-3.25, 2 Pb 3.21, 1 Nd 3.28
Nd: 0.0000 0.5000 0.2500 [4 per cell]  2 Nd 3.25, 2 Tb 3.28, 4 Pb 3.39
Nd: 0.1266 0.2746 0.5000 [8 per cell]  4 Tb 3.42-3.72, 4 Pb 3.47-3.67
Pb: 0.1409 0.3511 0.0000 [8 per cell]  3 Tb 3.03-3.21

Output
magnetic moment = 0.0 μB/f.u.
formation energy from the elements = -1 kJ per mole of atoms
DOS(E_F) = 48.06 states/eV/cell
volume = 333 Å³/f.u.
crystal system = orthorhombic
uncorrected energy = -179.8 eV/cell

Please write out number 2 again, unchanged.
# NaMg2GaW

NaMg2GaW after structural relaxation (PBE-GGA, the Alexandria database).

abc: 4.6863 4.6863 5.0612
angles: 90.00 90.00 90.00
Last column: nearest neighbours and their distance in Å.
Space group P4/mmm (No. 123)
Unique sites:
Na: 0.0000 0.0000 0.0000 [1 per cell]  4 Mg 2.34, 2 W 2.53
Mg: 0.0000 0.5000 0.0000 [2 per cell]  2 Na 2.34
Ga: 0.5000 0.5000 0.5000 [1 per cell]  4 W 3.31, 8 Mg 3.45
W: 0.0000 0.0000 0.5000 [1 per cell]  2 Na 2.53

Output
magnetic moment = 0.0 μB/f.u.
formation energy from the elements = 162 kJ per mole of atoms
DOS(E_F) = 3.68 states/eV/cell
volume = 111 Å³/f.u.
crystal system = tetragonal
uncorrected energy = -12.1 eV/cell

Copy entry 2 word for word.
# NaMg2GaW

NaMg2GaW after structural relaxation (PBE-GGA, the Alexandria database).

abc: 4.6863 4.6863 5.0612
angles: 90.00 90.00 90.00
Last column: nearest neighbours and their distance in Å.
Space group P4/mmm (No. 123)
Unique sites:
Na: 0.0000 0.0000 0.0000 [1 per cell]  4 Mg 2.34, 2 W 2.53
Mg: 0.0000 0.5000 0.0000 [2 per cell]  2 Na 2.34
Ga: 0.5000 0.5000 0.5000 [1 per cell]  4 W 3.31, 8 Mg 3.45
W: 0.0000 0.0000 0.5000 [1 per cell]  2 Na 2.53

Output
magnetic moment = 0.0 μB/f.u.
formation energy from the elements = 162 kJ per mole of atoms
DOS(E_F) = 3.68 states/eV/cell
volume = 111 Å³/f.u.
crystal system = tetragonal
uncorrected energy = -12.1 eV/cell

Q: volume of number 2 (NaMg2GaW)?
A: 111 Å³/f.u.